(1)
This record from the Alexandria database describes an optimized crystal structure of Sc2HgIO8. The functional is PBE.

Symmetry: P2/m, No. 10
E_form (uncorrected) (meV per atom): -1527
Volume (Å³ per atom): 12.78
Crystal system: monoclinic
Magnetic moment (μB/atom): 0.00

Cell: 4.7763 6.7222 4.7809 Å, 90.00 92.20 90.00°
Closest atoms and distances in Å follow each position.
Sites, in units of the cell vectors:
Sc: 0.0000 0.2493 0.0000  6 O 2.06-2.20
Sc: 0.0000 0.7507 0.0000  6 O 2.06-2.20
Hg: 0.5000 0.0000 0.5000  2 O 2.11
I: 0.5000 0.5000 0.5000  6 O 1.90
O: 0.1823 0.0000 0.1807  2 Sc 2.06, 1 Hg 2.11
O: 0.2140 0.5000 0.2112  1 I 1.90
O: 0.3072 0.2955 0.6901  1 I 1.90
O: 0.3072 0.7045 0.6901  1 I 1.90
O: 0.6928 0.2955 0.3099  1 I 1.90
O: 0.6928 0.7045 0.3099  1 I 1.90
O: 0.7860 0.5000 0.7888  1 I 1.90
O: 0.8177 0.0000 0.8193  2 Sc 2.06, 1 Hg 2.11

=====

(2)
This record from the Alexandria database describes an optimized crystal structure of ErSbSe2. The functional is PBE.

Symmetry: R-3m, No. 166
E_form (uncorrected) (meV per atom): -333
Volume (Å³ per atom): 31.22
Crystal system: trigonal
Magnetic moment (μB/atom): 0.00

Cell: 9.2106 9.2106 9.2106 Å, 25.22 25.22 25.22°
Closest atoms and distances in Å follow each position.
Sites, in units of the cell vectors:
Er: 0.0000 0.0000 0.0000  2 Se 2.78
Sb: 0.5000 0.5000 0.5000  6 Se 2.87
Se: 0.1039 0.1039 0.1039  1 Er 2.78, 3 Sb 2.87
Se: 0.8961 0.8961 0.8961  1 Er 2.78, 3 Sb 2.87

=====

(3)
This record from the Alexandria database describes an optimized crystal structure of BaNdAlCd. The functional is PBE.

Symmetry: F-43m, No. 216
Volume (Å³ per atom): 31.87
Energy relative to the elements (meV/atom): -142
Crystal system: cubic
Magnetic moment (μB/atom): 0.00

Cell: 5.6489 5.6489 5.6489 Å, 60.00 60.00 60.00°
Closest atoms and distances in Å follow each position.
Sites, in units of the cell vectors:
Ba: 0.0000 0.0000 0.0000  4 Al 3.46, 4 Cd 3.46
Nd: 0.5000 0.5000 0.5000  4 Cd 3.46, 4 Al 3.46
Al: 0.7500 0.7500 0.7500  4 Nd 3.46, 4 Ba 3.46
Cd: 0.2500 0.2500 0.2500  4 Nd 3.46, 4 Ba 3.46

=====

(4)
This record from the Alexandria database describes an optimized crystal structure of Ac2Tb3Pm3. The functional is PBE.

Symmetry: Cmcm, No. 63
Volume (Å³ per atom): 37.14
Energy relative to the elements (meV/atom): 156
Crystal system: orthorhombic
Magnetic moment (μB/atom): 0.00

Cell: 9.0036 9.0036 17.7286 Å, 90.00 90.00 155.57°
Closest atoms and distances in Å follow each position.
Sites, in units of the cell vectors:
Ac: 0.2487 0.7513 0.6053  4 Pm 3.46-3.78, 2 Ac 3.81
Ac: 0.2487 0.7513 0.8947  4 Pm 3.46-3.78, 2 Ac 3.81
Ac: 0.7513 0.2487 0.1053  4 Pm 3.46-3.78, 2 Ac 3.81
Ac: 0.7513 0.2487 0.3947  4 Pm 3.46-3.78, 2 Ac 3.81
Tb: 0.0912 0.9088 0.2500  3 Pm 3.66-3.71, 6 Tb 3.81-3.84
Tb: 0.4555 0.5445 0.1185  6 Pm 3.27-3.51
Tb: 0.4555 0.5445 0.3815  6 Pm 3.27-3.51
Tb: 0.5445 0.4555 0.6185  6 Pm 3.27-3.51
Tb: 0.5445 0.4555 0.8815  6 Pm 3.27-3.51
Tb: 0.9088 0.0912 0.7500  3 Pm 3.66-3.71, 6 Tb 3.81-3.84
Pm: 0.0923 0.9077 0.0408  5 Tb 3.36-3.71, 1 Pm 3.56, 2 Ac 3.57
Pm: 0.0923 0.9077 0.4592  5 Tb 3.36-3.71, 1 Pm 3.56, 2 Ac 3.57
Pm: 0.1167 0.8833 0.7500  5 Tb 3.27-3.66, 2 Ac 3.46
Pm: 0.8833 0.1167 0.2500  5 Tb 3.27-3.66, 2 Ac 3.46
Pm: 0.9077 0.0923 0.5408  5 Tb 3.36-3.71, 1 Pm 3.56, 2 Ac 3.57
Pm: 0.9077 0.0923 0.9592  5 Tb 3.36-3.71, 1 Pm 3.56, 2 Ac 3.57

=====

(5)
This record from the Alexandria database describes an optimized crystal structure of SrCd2Cl. The functional is PBE.

Symmetry: P4/mmm, No. 123
E_form (uncorrected) (meV per atom): -637
Volume (Å³ per atom): 34.17
Crystal system: tetragonal
Magnetic moment (μB/atom): 0.00

Cell: 4.9264 4.9264 5.6315 Å, 90.00 90.00 90.00°
Closest atoms and distances in Å follow each position.
Sites, in units of the cell vectors:
Sr: 0.0000 0.0000 0.0000  2 Cl 2.82
Cd: 0.5000 0.5000 0.2533  2 Cd 2.78-2.85
Cd: 0.5000 0.5000 0.7467  2 Cd 2.78-2.85
Cl: 0.0000 0.0000 0.5000  2 Sr 2.82

=====

(6)
This record from the Alexandria database describes an optimized crystal structure of BeInSi. The functional is PBE.

Symmetry: Fmm2, No. 42
E_form (uncorrected) (meV per atom): 503
Volume (Å³ per atom): 17.24
Crystal system: orthorhombic
Magnetic moment (μB/atom): 0.00

Cell: 6.7514 6.6748 2.8539 Å, 79.23 76.23 24.54°
Closest atoms and distances in Å follow each position.
Sites, in units of the cell vectors:
Be: 0.0000 0.0000 0.0000  4 Si 2.37-2.57
In: 0.3304 0.3304 0.6696  4 In 2.85, 4 Be 2.88-3.05
Si: 0.6114 0.6114 0.3886  4 Be 2.37-2.57

=====

(7)
This record from the Alexandria database describes an optimized crystal structure of La2SmY. The functional is PBE.

Symmetry: R3m, No. 160
Volume (Å³ per atom): 34.99
Energy relative to the elements (meV/atom): 20
Crystal system: trigonal
Magnetic moment (μB/atom): 0.00

Cell: 12.1078 12.1078 12.1078 Å, 17.49 17.49 17.49°
Closest atoms and distances in Å follow each position.
Sites, in units of the cell vectors:
La: 0.0000 0.0000 0.0000  3 Y 3.63, 3 Sm 3.64, 6 La 3.68
La: 0.1669 0.1669 0.1669  6 La 3.68, 3 Y 3.69, 3 Sm 3.69
Sm: 0.4160 0.4160 0.4160  6 La 3.64-3.69, 6 Sm 3.68
Y: 0.5845 0.5845 0.5845  6 La 3.63-3.69, 6 Y 3.68

=====

(8)
This record from the Alexandria database describes an optimized crystal structure of CaLaGdTm. The functional is PBE.

Symmetry: F-43m, No. 216
Volume (Å³ per atom): 34.98
Energy relative to the elements (meV/atom): 115
Crystal system: cubic
Magnetic moment (μB/atom): 1.88

Cell: 5.8274 5.8274 5.8274 Å, 60.00 60.00 60.00°
Closest atoms and distances in Å follow each position.
Sites, in units of the cell vectors:
Ca: 0.0000 0.0000 0.0000  4 Gd 3.57, 4 La 3.57
La: 0.2500 0.2500 0.2500  4 Ca 3.57, 4 Tm 3.57
Gd: 0.7500 0.7500 0.7500  4 Ca 3.57, 4 Tm 3.57
Tm: 0.5000 0.5000 0.5000  4 Gd 3.57, 4 La 3.57

=====

(9)
This record from the Alexandria database describes an optimized crystal structure of InReAu2Br. The functional is PBE.

Symmetry: P4/mmm, No. 123
E_form (uncorrected) (meV per atom): 1702
Volume (Å³ per atom): 29.91
Crystal system: tetragonal
Magnetic moment (μB/atom): 0.88

Cell: 5.0377 5.0377 5.8926 Å, 90.00 90.00 90.00°
Closest atoms and distances in Å follow each position.
Sites, in units of the cell vectors:
In: 0.0000 0.0000 0.0000  2 Br 2.95
Re: 0.5000 0.5000 0.0000  4 In 3.56, 8 Au 3.88
Au: 0.0000 0.5000 0.5000  2 Br 2.52
Au: 0.5000 0.0000 0.5000  2 Br 2.52
Br: 0.0000 0.0000 0.5000  4 Au 2.52

=====

(10)
This record from the Alexandria database describes an optimized crystal structure of Ta2MnBe2Co5. The functional is PBE.

Symmetry: P4/mbm, No. 127
Volume (Å³ per atom): 11.43
Energy relative to the elements (meV/atom): -258
Crystal system: tetragonal
Magnetic moment (μB/atom): 0.53

Cell: 8.6192 8.6192 3.0770 Å, 90.00 90.00 90.00°
Closest atoms and distances in Å follow each position.
Sites, in units of the cell vectors:
Ta: 0.1771 0.3229 0.0000  3 Be 2.49-2.60, 10 Co 2.65-2.78
Ta: 0.3229 0.8229 0.0000  3 Be 2.49-2.60, 10 Co 2.65-2.78
Ta: 0.6771 0.1771 0.0000  3 Be 2.49-2.60, 10 Co 2.65-2.78
Ta: 0.8229 0.6771 0.0000  3 Be 2.49-2.60, 10 Co 2.65-2.78
Mn: 0.0000 0.0000 0.0000  8 Co 2.46
Mn: 0.5000 0.5000 0.0000  8 Co 2.46
Be: 0.1183 0.6183 0.0000  6 Co 2.11-2.16
Be: 0.3817 0.1183 0.0000  6 Co 2.11-2.16
Be: 0.6183 0.8817 0.0000  6 Co 2.11-2.16
Be: 0.8817 0.3817 0.0000  6 Co 2.11-2.16
Co: 0.0000 0.5000 0.5000  4 Be 2.11
Co: 0.0675 0.7870 0.5000  2 Be 2.16
Co: 0.2130 0.0675 0.5000  2 Be 2.16
Co: 0.2871 0.5675 0.5000  2 Be 2.16
Co: 0.4325 0.2871 0.5000  2 Be 2.16
Co: 0.5000 0.0000 0.5000  4 Be 2.11
Co: 0.5675 0.7130 0.5000  2 Be 2.16
Co: 0.7130 0.4325 0.5000  2 Be 2.16
Co: 0.7870 0.9325 0.5000  2 Be 2.16
Co: 0.9325 0.2130 0.5000  2 Be 2.16

=====

(11)
This record from the Alexandria database describes an optimized crystal structure of Li2Mg. The functional is PBE.

Symmetry: Fd-3m, No. 227
Volume (Å³ per atom): 22.64
Energy relative to the elements (meV/atom): 44
Crystal system: cubic
Magnetic moment (μB/atom): 0.00

Cell: 9.1597 9.1597 9.1597 Å, 60.00 60.00 60.00°
Closest atoms and distances in Å follow each position.
Sites, in units of the cell vectors:
Li: 0.0000 0.0000 0.0000  6 Mg 2.83
Li: 0.0000 0.0000 0.5000  6 Mg 2.83
Li: 0.0000 0.5000 0.0000  6 Mg 2.83
Li: 0.1784 0.1784 0.5716  4 Mg 3.02-3.22, 2 Li 3.25
Li: 0.1784 0.5716 0.1784  4 Mg 3.02-3.22, 2 Li 3.25
Li: 0.1784 0.5716 0.5716  4 Mg 3.02-3.22, 2 Li 3.25
Li: 0.4284 0.4284 0.8216  4 Mg 3.02-3.22, 2 Li 3.25
Li: 0.4284 0.8216 0.4284  4 Mg 3.02-3.22, 2 Li 3.25
Li: 0.4284 0.8216 0.8216  4 Mg 3.02-3.22, 2 Li 3.25
Li: 0.5000 0.0000 0.0000  6 Mg 2.83
Li: 0.5716 0.1784 0.1784  4 Mg 3.02-3.22, 2 Li 3.25
Li: 0.5716 0.1784 0.5716  4 Mg 3.02-3.22, 2 Li 3.25
Li: 0.5716 0.5716 0.1784  4 Mg 3.02-3.22, 2 Li 3.25
Li: 0.8216 0.4284 0.4284  4 Mg 3.02-3.22, 2 Li 3.25
Li: 0.8216 0.4284 0.8216  4 Mg 3.02-3.22, 2 Li 3.25
Li: 0.8216 0.8216 0.4284  4 Mg 3.02-3.22, 2 Li 3.25
Mg: 0.1364 0.7879 0.7879  6 Li 2.83-3.02
Mg: 0.2121 0.2121 0.2121  6 Li 2.83-3.02
Mg: 0.2121 0.2121 0.8636  6 Li 2.83-3.02
Mg: 0.2121 0.8636 0.2121  6 Li 2.83-3.02
Mg: 0.7879 0.1364 0.7879  6 Li 2.83-3.02
Mg: 0.7879 0.7879 0.1364  6 Li 2.83-3.02
Mg: 0.7879 0.7879 0.7879  6 Li 2.83-3.02
Mg: 0.8636 0.2121 0.2121  6 Li 2.83-3.02

=====

(12)
This record from the Alexandria database describes an optimized crystal structure of La2Nb3Si4. The functional is PBE.

Symmetry: P2_1/c, No. 14
E_form (uncorrected) (meV per atom): -689
Volume (Å³ per atom): 19.55
Crystal system: monoclinic
Magnetic moment (μB/atom): 0.00

Cell: 7.2324 7.2318 7.1091 Å, 90.00 108.81 90.00°
Closest atoms and distances in Å follow each position.
Sites, in units of the cell vectors:
La: 0.1822 0.1645 0.0636  7 Si 2.94-3.26
La: 0.1822 0.3355 0.5636  7 Si 2.94-3.26
La: 0.8178 0.6645 0.4364  7 Si 2.94-3.26
La: 0.8178 0.8355 0.9364  7 Si 2.94-3.26
Nb: 0.2629 0.6729 0.2496  6 Si 2.61-2.90
Nb: 0.2629 0.8271 0.7496  6 Si 2.61-2.90
Nb: 0.5000 0.0000 0.5000  6 Si 2.80-2.85, 4 Nb 3.10-3.12
Nb: 0.5000 0.5000 0.0000  6 Si 2.80-2.85, 4 Nb 3.10-3.12
Nb: 0.7371 0.1729 0.2504  6 Si 2.61-2.90
Nb: 0.7371 0.3271 0.7504  6 Si 2.61-2.90
Si: 0.0932 0.5440 0.8794  1 Si 2.58, 3 Nb 2.69-2.80
Si: 0.0932 0.9560 0.3794  1 Si 2.58, 3 Nb 2.69-2.80
Si: 0.4972 0.1267 0.8719  1 Si 2.57, 5 Nb 2.61-2.85
Si: 0.4972 0.3733 0.3719  1 Si 2.57, 5 Nb 2.61-2.85
Si: 0.5028 0.6267 0.6281  1 Si 2.57, 5 Nb 2.61-2.85
Si: 0.5028 0.8733 0.1281  1 Si 2.57, 5 Nb 2.61-2.85
Si: 0.9068 0.0440 0.6206  1 Si 2.58, 3 Nb 2.69-2.80
Si: 0.9068 0.4560 0.1206  1 Si 2.58, 3 Nb 2.69-2.80